This record from the Alexandria database describes a geometry-optimized NaBi3Mo structure. The functional is GGA-PBE.

Computed properties:
* mass density: 7.5 Mg/m³
* DOS at the Fermi energy: 7.0 states/eV/cell
* space group: Pm-3m, No. 221
* energy above the lowest structure with this stoichiometry: 0 meV/atom

Cell: 5.481 5.481 5.481 Å, 90.00 90.00 90.00°
Positions (direct):
Bi (0.500, 0.000, 0.000)
Bi (0.000, 0.500, 0.000)
Bi (0.000, 0.000, 0.500)
Na (0.500, 0.500, 0.500)
Mo (0.000, 0.000, 0.000)